The following is a DFT calculation (PBE-GGA) of crystalline Na2LaO2 at its relaxed geometry.

POSCAR file:
```
Na2LaO2
1.0
-3.3987 -0.4335 -0.5492
0.6279 -3.0914 -1.4456
-1.9186 -4.3794 4.3675
Na O La
2 2 1
Direct
0.7500 0.2500 0.5000
0.2500 0.7500 0.5000
0.3809 0.3809 0.2381
0.6191 0.6191 0.7619
0.0000 0.0000 0.0000
```

Values from the calculation:
Space group ... I4/mmm, No. 139
N(E_F) ... 1.30 states/eV/cell
Energy relative to the lowest polymorph listed for this composition ... 231 meV/atom
Raw total energy ... -4.939 eV/atom